Entry 1:
A plane-wave DFT calculation with PBE-GGA was carried out for a relaxed structure of Li3Th2ZnCu12.

Cell and atoms, written as POSCAR:
```
Li3Th2ZnCu12
1.0
4.352 2.513 4.219
-4.352 2.513 4.219
0.000 -5.025 4.219
Li Th Zn Cu
3 2 1 12
direct
0.000 0.500 0.500 Li
0.500 0.000 0.500 Li
0.500 0.500 0.000 Li
0.213 0.213 0.213 Th
0.787 0.787 0.787 Th
0.500 0.500 0.500 Zn
0.078 0.078 0.647 Cu
0.078 0.647 0.078 Cu
0.235 0.701 0.701 Cu
0.299 0.299 0.765 Cu
0.299 0.765 0.299 Cu
0.353 0.922 0.922 Cu
0.647 0.078 0.078 Cu
0.701 0.235 0.701 Cu
0.701 0.701 0.235 Cu
0.765 0.299 0.299 Cu
0.922 0.353 0.922 Cu
0.922 0.922 0.353 Cu
```

N(E_F) = 8.9 states/eV/cell
Crystal system = trigonal
Symmetry = No. 166
Electronic total energy = -69.55 eV per formula unit


Entry 2:
A plane-wave DFT calculation with PBE-GGA was carried out for a relaxed structure of Li3TiCu.

Cell and atoms, written as POSCAR:
```
Li3TiCu
1.0
4.938 0.000 0.000
0.000 4.938 0.000
0.000 0.000 4.938
Li Ti Cu
3 1 1
direct
0.000 0.000 0.500 Li
0.000 0.500 0.000 Li
0.500 0.000 0.000 Li
0.000 0.000 0.000 Ti
0.500 0.500 0.500 Cu
```

N(E_F) = 4.4 states/eV/cell
ΔE to the lowest computed polymorph = 609 meV per atom
Crystal system = cubic
Symmetry = No. 221
Electronic total energy = -11.48 eV per formula unit


Entry 3:
A plane-wave DFT calculation with PBE-GGA was carried out for a relaxed structure of LiTi2Cu2.

Cell and atoms, written as POSCAR:
```
LiTi2Cu2
1.0
7.529 0.000 0.000
0.000 7.529 0.000
0.000 0.000 2.700
Li Ti Cu
2 4 4
direct
0.000 0.000 0.000 Li
0.500 0.500 0.000 Li
0.168 0.332 0.500 Ti
0.332 0.832 0.500 Ti
0.668 0.168 0.500 Ti
0.832 0.668 0.500 Ti
0.127 0.627 0.000 Cu
0.373 0.127 0.000 Cu
0.627 0.873 0.000 Cu
0.873 0.373 0.000 Cu
```

N(E_F) = 7.3 states/eV/cell
ΔE to the lowest computed polymorph = 0 meV per atom
Crystal system = tetragonal
Symmetry = No. 127
Electronic total energy = -25.60 eV per formula unit


Entry 4:
A plane-wave DFT calculation with PBE-GGA was carried out for a relaxed structure of Li2TiCu.

Cell and atoms, written as POSCAR:
```
Li2TiCu
1.0
2.670 0.000 0.000
-1.335 2.312 0.000
0.000 0.000 29.162
Li Ti Cu
6 3 3
direct
0.000 0.000 0.093 Li
0.000 0.000 0.907 Li
0.333 0.667 0.574 Li
0.333 0.667 0.760 Li
0.667 0.333 0.240 Li
0.667 0.333 0.426 Li
0.000 0.000 0.000 Ti
0.333 0.667 0.667 Ti
0.667 0.333 0.333 Ti
0.000 0.000 0.500 Cu
0.333 0.667 0.167 Cu
0.667 0.333 0.833 Cu
```

N(E_F) = 7.5 states/eV/cell
ΔE to the lowest computed polymorph = 0 meV per atom
Crystal system = trigonal
Symmetry = No. 166
Electronic total energy = -15.09 eV per formula unit


Entry 5:
A plane-wave DFT calculation with PBE-GGA was carried out for a relaxed structure of LiTiCu3.

Cell and atoms, written as POSCAR:
```
LiTiCu3
1.0
4.720 0.000 0.000
0.000 4.720 0.000
0.000 0.000 4.720
Li Ti Cu
1 1 3
direct
0.000 0.000 0.000 Li
0.500 0.500 0.500 Ti
0.000 0.500 0.500 Cu
0.500 0.000 0.500 Cu
0.500 0.500 0.000 Cu
```

N(E_F) = 3.3 states/eV/cell
ΔE to the lowest computed polymorph = 427 meV per atom
Crystal system = cubic
Symmetry = No. 221
Electronic total energy = -17.49 eV per formula unit


Entry 6:
A plane-wave DFT calculation with PBE-GGA was carried out for a relaxed structure of LiTiCu.

Cell and atoms, written as POSCAR:
```
LiTiCu
1.0
0.000 4.234 4.600
2.166 0.000 4.600
2.166 4.234 0.000
Li Ti Cu
2 2 2
direct
0.250 0.250 0.250 Li
0.750 0.750 0.750 Li
0.121 0.121 0.879 Ti
0.879 0.879 0.121 Ti
0.335 0.665 0.335 Cu
0.665 0.335 0.665 Cu
```

N(E_F) = 3.5 states/eV/cell
ΔE to the lowest computed polymorph = 400 meV per atom
Crystal system = orthorhombic
Symmetry = No. 69
Electronic total energy = -12.85 eV per formula unit


Entry 7:
A plane-wave DFT calculation with PBE-GGA was carried out for a relaxed structure of LiTiCu3.

Cell and atoms, written as POSCAR:
```
LiTiCu3
1.0
4.084 0.000 0.000
0.000 4.084 0.000
0.000 0.000 4.084
Li Ti Cu
1 1 3
direct
0.000 0.000 0.000 Li
0.500 0.500 0.500 Ti
0.000 0.000 0.500 Cu
0.000 0.500 0.000 Cu
0.500 0.000 0.000 Cu
```

N(E_F) = 6.5 states/eV/cell
ΔE to the lowest computed polymorph = 0 meV per atom
Crystal system = cubic
Symmetry = No. 221
Electronic total energy = -19.62 eV per formula unit


Entry 8:
A plane-wave DFT calculation with PBE-GGA was carried out for a relaxed structure of Li3TiCu.

Cell and atoms, written as POSCAR:
```
Li3TiCu
1.0
4.447 0.000 0.000
0.000 4.447 0.000
0.000 0.000 4.447
Li Ti Cu
3 1 1
direct
0.000 0.000 0.500 Li
0.000 0.500 0.000 Li
0.500 0.000 0.000 Li
0.500 0.500 0.500 Ti
0.000 0.000 0.000 Cu
```

N(E_F) = 3.8 states/eV/cell
ΔE to the lowest computed polymorph = 0 meV per atom
Crystal system = cubic
Symmetry = No. 221
Electronic total energy = -14.53 eV per formula unit